Here is a geometry-optimized Sr2VMoO6 structure from Alexandria via LeMat-Bulk. Energies are from GGA+U.

```
Sr2VMoO6
1.0
-1.653 4.177 3.350
3.029 -2.188 4.176
6.402 4.407 -2.335
Sr V Mo O
4 2 2 12
Cartesian
3.802 1.002 5.267
3.975 5.394 -0.076
1.462 4.184 4.855
6.315 2.212 0.336
4.576 4.192 6.358
0.000 0.000 0.000
7.089 5.402 1.428
3.888 3.198 2.595
2.974 3.090 6.937
4.803 3.306 -1.746
2.289 2.097 3.184
5.488 4.299 2.007
0.145 0.725 1.752
3.708 2.422 0.652
7.631 5.671 3.439
4.069 3.974 4.538
8.205 3.723 1.319
5.120 1.687 3.119
-0.428 2.673 3.872
2.657 4.709 2.072
```

Properties
Total magnetization   0.300 μB per atom
Total energy   -7.151 eV per atom
Theoretical density   5449 kg/m³
Space group   C2/c, No. 15